# HfZr2MoPd, optimized geometry, DFT PBE-GGA
data_HfZr2MoPd
_chemical_formula_sum 'Hf1 Zr2 Mo1 Pd1'
_cell_length_a 5.007
_cell_length_b 5.007
_cell_length_c 4.922
_cell_angle_alpha 90.00
_cell_angle_beta 90.00
_cell_angle_gamma 90.00
_symmetry_space_group_name_H-M 'P 4/m m m'
_symmetry_Int_Tables_number 123
_symmetry_space_group_name_Hall '-P 4 2'
loop_
_atom_site_label
_atom_site_type_symbol
_atom_site_fract_x
_atom_site_fract_y
_atom_site_fract_z
_atom_site_occupancy
Hf1 Hf 0.000 0.000 0.000 1
Zr1 Zr 0.000 0.500 0.500 1
Mo1 Mo 0.500 0.500 0.000 1
Pd1 Pd 0.000 0.000 0.500 1
# - calculated formation energy (eV per atom) = 0.920
# - DFT total energy (eV per cell) = -38.474